1.
{"formula": "BeMo2Rh", "functional": "PBE", "state": "optimized geometry", "lattice_angstrom": [[8.7217, 0.0000, 0.0000], [0.0000, 2.6922, 0.0000], [-0.6034, 0.0000, 4.7912]], "species": ["Be", "Be", "Mo", "Mo", "Mo", "Mo", "Rh", "Rh"], "frac_coords": [[0.0000, 0.0000, 0.0000], [0.5000, 0.5000, 0.0000], [0.2518, 0.0000, 0.7700], [0.4858, 0.0000, 0.4970], [0.7518, 0.5000, 0.7700], [0.9858, 0.5000, 0.4970], [0.2378, 0.5000, 0.2327], [0.7378, 0.0000, 0.2327]], "total_magnetization_mub_per_fu": 0.0, "energy_ry_per_atom": -0.5982, "formation_energy_mev_per_atom": 46}


2.
{"formula": "AgCO", "functional": "PBE", "state": "optimized geometry", "lattice_angstrom": [[2.8803, 0.0000, 0.0000], [0.0000, 13.4024, 0.0000], [0.0000, 0.0000, 3.9264]], "species": ["Ag", "Ag", "Ag", "Ag", "C", "C", "C", "C", "O", "O", "O", "O"], "frac_coords": [[0.0000, 0.1809, 0.0000], [0.0000, 0.8191, 0.5000], [0.5000, 0.3191, 0.5000], [0.5000, 0.6809, 0.0000], [0.0000, 0.4457, 0.6152], [0.0000, 0.5543, 0.1152], [0.5000, 0.0543, 0.1152], [0.5000, 0.9457, 0.6152], [0.0000, 0.4632, 0.9567], [0.0000, 0.5368, 0.4567], [0.5000, 0.0368, 0.4567], [0.5000, 0.9632, 0.9567]], "total_magnetization_mub_per_fu": 0.0, "raw_formation_energy_ev_per_atom": 0.261, "energy_ry_per_atom": -0.3981}


3.
{"formula": "Nd3Zr", "functional": "PBE", "state": "optimized geometry", "lattice_angstrom": [[7.1853, 0.0000, 0.0000], [-3.5927, 6.2227, 0.0000], [0.0000, 0.0000, 5.7107]], "species": ["Nd", "Nd", "Nd", "Nd", "Nd", "Nd", "Zr", "Zr"], "frac_coords": [[0.1725, 0.3449, 0.2500], [0.1725, 0.8275, 0.2500], [0.3449, 0.1725, 0.7500], [0.6551, 0.8275, 0.2500], [0.8275, 0.1725, 0.7500], [0.8275, 0.6551, 0.7500], [0.3333, 0.6667, 0.7500], [0.6667, 0.3333, 0.2500]], "total_magnetization_mub_per_fu": 0.0, "polymorph_energy_kj_per_mol_atoms": 0.3, "energy_ry_per_atom": -0.4092, "formation_energy_mev_per_atom": 145}


4.
{"formula": "RbBe2CdBr8", "functional": "PBE", "state": "optimized geometry", "lattice_angstrom": [[3.3133, 1.9129, 9.6164], [-3.3133, 1.9129, 9.6164], [0.0000, -3.8259, 9.6164]], "species": ["Rb", "Be", "Be", "Cd", "Br", "Br", "Br", "Br", "Br", "Br", "Br", "Br"], "frac_coords": [[0.0000, 0.0000, 0.0000], [0.2453, 0.2453, 0.2453], [0.7547, 0.7547, 0.7547], [0.5000, 0.5000, 0.5000], [0.0898, 0.4550, 0.7846], [0.2154, 0.9102, 0.5450], [0.3211, 0.3211, 0.3211], [0.4550, 0.7846, 0.0898], [0.5450, 0.2154, 0.9102], [0.6789, 0.6789, 0.6789], [0.7846, 0.0898, 0.4550], [0.9102, 0.5450, 0.2154]], "total_magnetization_mub_per_fu": 1.0, "raw_formation_energy_ev_per_atom": -0.931, "energy_ry_per_atom": -0.2076}


5.
{"formula": "AcNi4Au", "functional": "PBE", "state": "optimized geometry", "lattice_angstrom": [[0.0000, 3.6329, 3.6329], [3.6329, 0.0000, 3.6329], [3.6329, 3.6329, 0.0000]], "species": ["Ac", "Ni", "Ni", "Ni", "Ni", "Au"], "frac_coords": [[0.0000, 0.0000, 0.0000], [0.3763, 0.3763, 0.3763], [0.3763, 0.3763, 0.8710], [0.3763, 0.8710, 0.3763], [0.8710, 0.3763, 0.3763], [0.7500, 0.7500, 0.7500]], "total_magnetization_mub_per_fu": 1.5, "energy_ry_per_atom": -0.3855, "formation_energy_mev_per_atom": -160}


6.
{"formula": "K2TlRu", "functional": "PBE", "state": "optimized geometry", "lattice_angstrom": [[4.2965, 0.0000, 0.0000], [0.0000, 4.2965, 0.0000], [0.0000, 0.0000, 5.6512]], "species": ["K", "K", "Tl", "Ru"], "frac_coords": [[0.0000, 0.5000, 0.0000], [0.5000, 0.0000, 0.0000], [0.0000, 0.0000, 0.5000], [0.5000, 0.5000, 0.5000]], "total_magnetization_mub_per_fu": 0.8, "polymorph_energy_kj_per_mol_atoms": 32.6, "energy_ry_per_atom": -0.1959, "formation_energy_mev_per_atom": 793}


7.
{"formula": "PuPaGa4", "functional": "PBE", "state": "optimized geometry", "lattice_angstrom": [[0.0000, 3.8773, 3.8773], [3.8773, 0.0000, 3.8773], [3.8773, 3.8773, 0.0000]], "species": ["Pu", "Pa", "Ga", "Ga", "Ga", "Ga"], "frac_coords": [[0.0000, 0.0000, 0.0000], [0.2500, 0.2500, 0.2500], [0.1248, 0.6251, 0.6251], [0.6251, 0.1248, 0.6251], [0.6251, 0.6251, 0.1248], [0.6251, 0.6251, 0.6251]], "total_magnetization_mub_per_fu": 7.0, "polymorph_energy_kj_per_mol_atoms": 0.0, "energy_ry_per_atom": -0.4693, "formation_energy_mev_per_atom": -397}


8.
{"formula": "YTlHg2", "functional": "PBE", "state": "optimized geometry", "lattice_angstrom": [[6.7182, 0.0000, 0.0000], [0.0000, 6.7523, 0.0000], [0.0000, 0.0000, 8.9263]], "species": ["Y", "Y", "Y", "Y", "Tl", "Tl", "Tl", "Tl", "Hg", "Hg", "Hg", "Hg", "Hg", "Hg", "Hg", "Hg"], "frac_coords": [[0.0000, 0.0000, 0.0000], [0.0000, 0.5000, 0.5000], [0.5000, 0.0000, 0.5000], [0.5000, 0.5000, 0.0000], [0.0000, 0.0000, 0.5000], [0.0000, 0.5000, 0.0000], [0.5000, 0.0000, 0.0000], [0.5000, 0.5000, 0.5000], [0.2500, 0.2500, 0.2500], [0.2500, 0.2500, 0.7500], [0.2500, 0.7500, 0.2500], [0.2500, 0.7500, 0.7500], [0.7500, 0.2500, 0.2500], [0.7500, 0.2500, 0.7500], [0.7500, 0.7500, 0.2500], [0.7500, 0.7500, 0.7500]], "total_magnetization_mub_per_fu": 0.0, "energy_ry_per_atom": -0.1936, "formation_energy_mev_per_atom": -276}


9.
{"formula": "LaCoSn2Rh", "functional": "PBE", "state": "optimized geometry", "lattice_angstrom": [[5.0492, 0.0000, 0.0000], [0.0000, 5.0492, 0.0000], [0.0000, 0.0000, 4.8374]], "species": ["La", "Co", "Sn", "Sn", "Rh"], "frac_coords": [[0.0000, 0.0000, 0.0000], [0.5000, 0.5000, 0.0000], [0.0000, 0.5000, 0.5000], [0.5000, 0.0000, 0.5000], [0.5000, 0.5000, 0.5000]], "total_magnetization_mub_per_fu": 2.3, "energy_ry_per_atom": -0.4044, "formation_energy_mev_per_atom": -24}


10.
{"formula": "Ba2Pa2O7", "functional": "PBE", "state": "optimized geometry", "lattice_angstrom": [[3.6872, -4.1771, 0.0000], [3.6872, 4.1771, 0.0000], [0.0000, 0.0000, 6.0199]], "species": ["Ba", "Ba", "Pa", "Pa", "O", "O", "O", "O", "O", "O", "O"], "frac_coords": [[0.2422, 0.2422, 0.0000], [0.7578, 0.7578, 0.0000], [0.2750, 0.7250, 0.5000], [0.7250, 0.2750, 0.5000], [0.0000, 0.0000, 0.5000], [0.0000, 0.5000, 0.2825], [0.0000, 0.5000, 0.7175], [0.5000, 0.0000, 0.2825], [0.5000, 0.0000, 0.7175], [0.5000, 0.5000, 0.2869], [0.5000, 0.5000, 0.7131]], "total_magnetization_mub_per_fu": 0.0, "raw_formation_energy_ev_per_atom": -3.308, "energy_ry_per_atom": -0.6277}


11.
{"formula": "CrSb2Os", "functional": "PBE", "state": "optimized geometry", "lattice_angstrom": [[6.7370, 0.0000, 0.0000], [0.0000, 6.7370, 0.0000], [0.0000, 0.0000, 6.7370]], "species": ["Cr", "Cr", "Cr", "Cr", "Sb", "Sb", "Sb", "Sb", "Sb", "Sb", "Sb", "Sb", "Os", "Os", "Os", "Os"], "frac_coords": [[0.0000, 0.0000, 0.0000], [0.0000, 0.5000, 0.5000], [0.5000, 0.0000, 0.5000], [0.5000, 0.5000, 0.0000], [0.0000, 0.0000, 0.5000], [0.0000, 0.5000, 0.0000], [0.2500, 0.2500, 0.2500], [0.2500, 0.7500, 0.7500], [0.5000, 0.0000, 0.0000], [0.5000, 0.5000, 0.5000], [0.7500, 0.2500, 0.7500], [0.7500, 0.7500, 0.2500], [0.2500, 0.2500, 0.7500], [0.2500, 0.7500, 0.2500], [0.7500, 0.2500, 0.2500], [0.7500, 0.7500, 0.7500]], "total_magnetization_mub_per_fu": 3.8, "raw_formation_energy_ev_per_atom": 0.811, "polymorph_energy_kj_per_mol_atoms": 53.0, "energy_ry_per_atom": -0.4751}


12.
{"formula": "Ac5ThP6", "functional": "PBE", "state": "optimized geometry", "lattice_angstrom": [[3.8021, -6.5824, 0.0000], [3.8021, 6.5824, 0.0000], [-2.5361, 0.0000, 7.1666]], "species": ["Ac", "Ac", "Ac", "Ac", "Ac", "Th", "P", "P", "P", "P", "P", "P"], "frac_coords": [[0.0000, 0.0000, 0.0000], [0.1661, 0.8339, 0.5000], [0.3318, 0.6682, 0.0000], [0.6682, 0.3318, 0.0000], [0.8339, 0.1661, 0.5000], [0.5000, 0.5000, 0.5000], [0.1004, 0.4197, 0.2586], [0.2619, 0.2619, 0.7421], [0.4197, 0.1004, 0.2586], [0.5803, 0.8996, 0.7414], [0.7381, 0.7381, 0.2579], [0.8996, 0.5803, 0.7414]], "total_magnetization_mub_per_fu": 0.0, "energy_ry_per_atom": -0.4793, "formation_energy_mev_per_atom": -1487}